Crystalline La8Ir3OsBr3 at its relaxed geometry, computed with PBE-GGA.

Cell lengths 14.6205, 8.4290, 9.2145 Å; angles 90.00, 121.97, 90.00 degrees
Closest atoms and distances in Å follow each position.
Space group C2/m (No. 12)
Inequivalent atoms, fractional coordinates:
1 La 0.0164 0.2461 0.3042 [8 per cell]  1 Os 2.84, 2 Ir 2.89-2.90
2 La 0.2293 0.0000 0.6956 [4 per cell]  1 Os 2.84, 2 Ir 2.89
3 La 0.2317 0.5000 0.6941 [4 per cell]  3 Ir 2.87
4 Ir 0.0000 0.5000 0.5000 [2 per cell]  6 La 2.87-2.89
5 Ir 0.2500 0.2500 0.5000 [4 per cell]  6 La 2.87-2.90
6 Os 0.0000 0.0000 0.5000 [2 per cell]  6 La 2.84
7 Br 0.0000 0.0000 0.0000 [2 per cell]  6 La 3.39-3.41
8 Br 0.2500 0.2500 0.0000 [4 per cell]  6 La 3.39-3.41

The final energy is -6.4767 eV per atom. The total magnetic moment is 0.95 μB per cell. For the density of states at the Fermi level, the calculation gives 16.729 states/eV per cell. As for the uncorrected formation energy: -0.99 eV per atom.



Crystalline La4PIrBr2 at its relaxed geometry, computed with PBE-GGA.

Cell lengths 7.6333, 4.1484, 7.9062 Å; angles 90.00, 107.51, 90.00 degrees
Closest atoms and distances in Å follow each position.
Space group P2/m (No. 10)
Inequivalent atoms, fractional coordinates:
1 La 0.2202 0.0000 0.1996 [2 per cell]  2 Ir 2.83, 1 P 3.01
2 La 0.2650 0.5000 0.7904 [2 per cell]  2 P 2.91, 1 Ir 2.98
3 P 0.5000 0.0000 0.0000 [1 per cell]  6 La 2.91-3.01
4 Ir 0.0000 0.5000 0.0000 [1 per cell]  6 La 2.83-2.98
5 Br 0.0000 0.0000 0.5000 [1 per cell]  6 La 3.30
6 Br 0.5000 0.5000 0.5000 [1 per cell]  6 La 3.31-3.38

The final energy is -6.0241 eV per atom. The total magnetic moment is 0.00 μB per cell. For the density of states at the Fermi level, the calculation gives 7.156 states/eV per cell. As for the uncorrected formation energy: -1.36 eV per atom.



Crystalline La6PIr2Br3 at its relaxed geometry, computed with PBE-GGA.

Cell lengths 7.3740, 12.7725, 8.1466 Å; angles 90.00, 107.39, 90.00 degrees
Closest atoms and distances in Å follow each position.
Space group C2/m (No. 12)
Inequivalent atoms, fractional coordinates:
1 La 0.2233 0.0000 0.1996 [4 per cell]  2 Ir 2.88, 1 P 2.96
2 La 0.2381 0.3286 0.1991 [8 per cell]  2 Ir 2.87-2.88, 1 P 2.97
3 P 0.0000 0.5000 0.0000 [2 per cell]  6 La 2.96-2.97
4 Ir 0.0000 0.1669 0.0000 [4 per cell]  6 La 2.87-2.88
5 Br 0.0000 0.0000 0.5000 [2 per cell]  6 La 3.33-3.42
6 Br 0.0000 0.3363 0.5000 [4 per cell]  6 La 3.37-3.42

The final energy is -6.1247 eV per atom. The total magnetic moment is 0.00 μB per cell. For the density of states at the Fermi level, the calculation gives 9.780 states/eV per cell. As for the uncorrected formation energy: -1.32 eV per atom.



Crystalline La8PIr3Br3 at its relaxed geometry, computed with PBE-GGA.

Cell lengths 8.5469, 8.5469, 22.5927 Å; angles 90.00, 90.00, 120.00 degrees
Closest atoms and distances in Å follow each position.
Space group R-3m (No. 166, hexagonal axes)
Inequivalent atoms, fractional coordinates:
1 La 0.0000 0.0000 0.2345 [6 per cell]  3 Ir 2.90
2 La 0.0108 0.5054 0.7653 [18 per cell]  2 Ir 2.87, 1 P 2.98
3 P 0.0000 0.0000 0.5000 [3 per cell]  6 La 2.98
4 Ir 0.0000 0.5000 0.5000 [9 per cell]  6 La 2.87-2.90
5 Br 0.0000 0.5000 0.0000 [9 per cell]  6 La 3.33-3.35

The final energy is -6.2278 eV per atom. The total magnetic moment is 0.00 μB per cell. For the density of states at the Fermi level, the calculation gives 38.075 states/eV per cell. As for the uncorrected formation energy: -1.13 eV per atom.



Crystalline La8PIr3Br4 at its relaxed geometry, computed with PBE-GGA.

Cell lengths 8.5117, 8.5117, 23.3863 Å; angles 90.00, 90.00, 120.00 degrees
Closest atoms and distances in Å follow each position.
Space group R-3m (No. 166, hexagonal axes)
Inequivalent atoms, fractional coordinates:
1 La 0.0000 0.0000 0.2327 [6 per cell]  3 Ir 2.90
2 La 0.0095 0.5048 0.7675 [18 per cell]  2 Ir 2.87, 1 P 2.96
3 P 0.0000 0.0000 0.5000 [3 per cell]  6 La 2.96
4 Ir 0.0000 0.5000 0.5000 [9 per cell]  6 La 2.87-2.90
5 Br 0.0000 0.0000 0.0000 [3 per cell]  6 La 3.35
6 Br 0.0000 0.5000 0.0000 [9 per cell]  6 La 3.40-3.43

The final energy is -6.1611 eV per atom. The total magnetic moment is 0.00 μB per cell. For the density of states at the Fermi level, the calculation gives 34.268 states/eV per cell. As for the uncorrected formation energy: -1.28 eV per atom.



Crystalline La8P3IrBr4 at its relaxed geometry, computed with PBE-GGA.

Cell lengths 8.5454, 8.5454, 22.1162 Å; angles 90.00, 90.00, 120.00 degrees
Closest atoms and distances in Å follow each position.
Space group R-3m (No. 166, hexagonal axes)
Inequivalent atoms, fractional coordinates:
1 La 0.0000 0.0000 0.2369 [6 per cell]  3 P 2.92, 3 Br 3.26
2 La 0.0049 0.5024 0.2362 [18 per cell]  1 Ir 2.88, 2 P 2.92
3 P 0.0000 0.5000 0.5000 [9 per cell]  6 La 2.92
4 Ir 0.0000 0.0000 0.5000 [3 per cell]  6 La 2.88
5 Br 0.0000 0.0000 0.0000 [3 per cell]  6 La 3.30
6 Br 0.0000 0.5000 0.0000 [9 per cell]  6 La 3.26

The final energy is -5.9228 eV per atom. The total magnetic moment is 0.00 μB per cell. For the density of states at the Fermi level, the calculation gives 27.696 states/eV per cell. As for the uncorrected formation energy: -1.47 eV per atom.



Crystalline La8IrPd3Br4 at its relaxed geometry, computed with PBE-GGA.

Cell lengths 8.5346, 8.5346, 23.7072 Å; angles 90.00, 90.00, 120.00 degrees
Closest atoms and distances in Å follow each position.
Space group R-3m (No. 166, hexagonal axes)
Inequivalent atoms, fractional coordinates:
1 La 0.0000 0.0000 0.2334 [6 per cell]  3 Pd 2.93
2 La 0.0095 0.5047 0.2334 [18 per cell]  1 Ir 2.87, 2 Pd 2.96
3 Ir 0.0000 0.0000 0.5000 [3 per cell]  6 La 2.87
4 Pd 0.0000 0.5000 0.5000 [9 per cell]  6 La 2.93-2.96
5 Br 0.0000 0.0000 0.0000 [3 per cell]  6 La 3.47
6 Br 0.0000 0.5000 0.0000 [9 per cell]  6 La 3.39-3.42

The final energy is -5.5391 eV per atom. The total magnetic moment is 0.00 μB per cell. For the density of states at the Fermi level, the calculation gives 37.045 states/eV per cell. As for the uncorrected formation energy: -1.13 eV per atom.



Crystalline La6IrPd2Br3 at its relaxed geometry, computed with PBE-GGA.

Cell lengths 20.0012, 4.2736, 9.3125 Å; angles 90.00, 110.40, 90.00 degrees
Closest atoms and distances in Å follow each position.
Space group C2/m (No. 12)
Inequivalent atoms, fractional coordinates:
1 La 0.0089 0.0000 0.2151 [4 per cell]  2 Ir 2.89, 1 Pd 2.97
2 La 0.1508 0.5000 0.1054 [4 per cell]  1 Ir 2.83, 2 Pd 2.97
3 La 0.1766 0.5000 0.5584 [4 per cell]  3 Pd 2.92-2.94
4 Ir 0.0000 0.5000 0.0000 [2 per cell]  6 La 2.83-2.89
5 Pd 0.1676 0.0000 0.3362 [4 per cell]  6 La 2.92-2.97
6 Br 0.0000 0.5000 0.5000 [2 per cell]  6 La 3.38-3.46
7 Br 0.1676 0.0000 0.8329 [4 per cell]  6 La 3.38-3.47

The final energy is -5.6266 eV per atom. The total magnetic moment is 0.00 μB per cell. For the density of states at the Fermi level, the calculation gives 19.506 states/eV per cell. As for the uncorrected formation energy: -1.14 eV per atom.



> What is the final energy in the third record?

-6.1247 eV per atom